[1]
{"formula": "AgHgH4", "functional": "GGA-PBE", "state": "optimized geometry", "sg": "No. 15", "dft_energy_ev_per_atom": -2.52, "lattice_angstrom": [[3.7438, -5.2611, 0.0000], [3.7438, 5.2611, 0.0000], [-3.5180, 0.0000, 3.8774]], "species": ["Ag", "Ag", "Hg", "Hg", "H", "H", "H", "H", "H", "H", "H", "H"], "fractional_positions": [[0.2281, 0.7719, 0.7500], [0.7719, 0.2281, 0.2500], [0.0800, 0.9200, 0.2500], [0.9200, 0.0800, 0.7500], [0.0069, 0.5087, 0.2826], [0.4087, 0.4542, 0.1865], [0.4542, 0.4087, 0.6865], [0.4913, 0.9931, 0.2174], [0.5087, 0.0069, 0.7826], [0.5458, 0.5913, 0.3135], [0.5913, 0.5458, 0.8135], [0.9931, 0.4913, 0.7174]]}

***

[2]
{"formula": "RePt8Rh2", "functional": "GGA-PBE", "state": "optimized geometry", "formation_enthalpy_0k_mev_per_atom": 90, "de_polymorph_ev_per_atom": 0.000, "sg": "No. 65", "dft_energy_ev_per_atom": -6.77, "lattice_angstrom": [[4.0815, -5.4537, 0.0000], [4.0815, 5.4537, 0.0000], [0.0000, 0.0000, 4.0039]], "species": ["Re", "Pt", "Pt", "Pt", "Pt", "Pt", "Pt", "Pt", "Pt", "Rh", "Rh"], "fractional_positions": [[0.0000, 0.0000, 0.0000], [0.0407, 0.2981, 0.5000], [0.2399, 0.7601, 0.0000], [0.2981, 0.0407, 0.5000], [0.3267, 0.3267, 0.0000], [0.6733, 0.6733, 0.0000], [0.7019, 0.9593, 0.5000], [0.7601, 0.2399, 0.0000], [0.9593, 0.7019, 0.5000], [0.3827, 0.6173, 0.5000], [0.6173, 0.3827, 0.5000]]}

***

[3]
{"formula": "AlCd2Cu", "functional": "GGA-PBE", "state": "optimized geometry", "formation_enthalpy_0k_mev_per_atom": 137, "sg": "No. 119", "dft_energy_ev_per_atom": -2.28, "lattice_angstrom": [[-2.0821, 2.0821, 4.1865], [2.0821, -2.0821, 4.1865], [2.0821, 2.0821, -4.1865]], "species": ["Al", "Cd", "Cd", "Cu"], "fractional_positions": [[0.0000, 0.0000, 0.0000], [0.2500, 0.7500, 0.5000], [0.5000, 0.5000, 0.0000], [0.7500, 0.2500, 0.5000]]}